Ac7RuRh4 | the Alexandria database | GGA-PBE | optimized geometry; space-group type = No. 8; ΔE_f = -0.53 eV/atom
1.0
7.0207 -2.1067 0.0000
7.0207 2.1067 0.0000
-3.5842 0.0000 12.4530
Ac Ru Rh
7 1 4
direct
0.0000 0.0000 0.0000
0.2212 0.2212 0.8533
0.2963 0.2963 0.4213
0.5229 0.5229 0.2772
0.6018 0.6018 0.5850
0.7582 0.7582 0.1402
0.9153 0.9153 0.6909
0.1493 0.1493 0.2148
0.2586 0.2586 0.6380
0.3712 0.3712 0.0615
0.5648 0.5648 0.8251
0.9552 0.9552 0.4517

=====

Li5RuAuN2 | the Alexandria database | GGA-PBE | optimized geometry; energy relative to the elements, uncorrected = -260 meV per atom; space-group type = No. 123
1.0
4.1666 0.0000 0.0000
0.0000 4.1666 0.0000
0.0000 0.0000 7.6520
Li Ru Au N
5 1 1 2
direct
0.0000 0.0000 0.0000
0.0000 0.5000 0.2714
0.0000 0.5000 0.7286
0.5000 0.0000 0.2714
0.5000 0.0000 0.7286
0.0000 0.0000 0.5000
0.5000 0.5000 0.0000
0.0000 0.0000 0.2624
0.0000 0.0000 0.7376

=====

PmMoN3 | the Alexandria database | GGA-PBE | optimized geometry; energy relative to the elements, uncorrected = -673 meV per atom; space-group type = No. 221
1.0
3.9844 0.0000 0.0000
0.0000 3.9844 0.0000
0.0000 0.0000 3.9844
Pm Mo N
1 1 3
direct
0.0000 0.0000 0.0000
0.5000 0.5000 0.5000
0.0000 0.5000 0.5000
0.5000 0.0000 0.5000
0.5000 0.5000 0.0000

=====

Rb3Na4Cd | the Alexandria database | GGA-PBE | optimized geometry; space-group type = No. 59; ΔE_f = 0.03 eV/atom
1.0
7.2914 0.0000 0.0000
0.0000 14.8651 0.0000
0.0000 0.0000 8.0372
Rb Na Cd
6 8 2
direct
0.2500 0.0075 0.1831
0.2500 0.4925 0.1831
0.2500 0.7500 0.5512
0.7500 0.2500 0.4488
0.7500 0.5075 0.8169
0.7500 0.9925 0.8169
0.0005 0.2500 0.9762
0.2500 0.1230 0.6505
0.2500 0.3770 0.6505
0.4995 0.2500 0.9762
0.5005 0.7500 0.0238
0.7500 0.6230 0.3495
0.7500 0.8770 0.3495
0.9995 0.7500 0.0238
0.2500 0.2500 0.3185
0.7500 0.7500 0.6815

=====

Ca2AcCd3 | the Alexandria database | GGA-PBE | optimized geometry; relative energy among the computed polymorphs = 0.017 eV/atom; space-group type = No. 123; ΔE_f = -0.33 eV/atom
1.0
3.9453 0.0000 0.0000
0.0000 3.9453 0.0000
0.0000 0.0000 11.6524
Ca Ac Cd
2 1 3
direct
0.0000 0.0000 0.1591
0.0000 0.0000 0.8409
0.0000 0.0000 0.5000
0.5000 0.5000 0.0000
0.5000 0.5000 0.3149
0.5000 0.5000 0.6851

=====

PrAlRh2 | the Alexandria database | GGA-PBE | optimized geometry; space-group type = No. 123; ΔE_f = -0.68 eV/atom
1.0
3.1793 0.0000 0.0000
0.0000 3.1793 0.0000
0.0000 0.0000 7.0222
Pr Al Rh
1 1 2
direct
0.0000 0.0000 0.0000
0.0000 0.0000 0.5000
0.5000 0.5000 0.2997
0.5000 0.5000 0.7003